Zn2AgAs: optimized geometry, PBE.

- Energy of formation from the pure elements: 154.3 meV per atom
- Crystal system: orthorhombic
- Uncorrected energy: -2.36 eV/atom

a = 2.8373 Å, b = 5.2084 Å, c = 9.5779 Å
α = 90.00°, β = 90.00°, γ = 90.00°
Closest atoms and distances in Å follow each position.
Space group Immm (No. 71)
Symmetry-distinct sites (fractional):
Zn1 0.0000 0.0000 0.2477 [4 per cell]  2 Ag 2.76, 2 As 2.80, 6 Zn 2.84-2.97
Ag1 0.0000 0.5000 0.5000 [2 per cell]  4 Zn 2.76, 2 Ag 2.84, 4 As 2.97
As1 0.0000 0.5000 0.0000 [2 per cell]  4 Zn 2.80, 2 As 2.84, 4 Ag 2.97